DFT (PBE-GGA) results for an optimized crystal structure of Ba2InSn2.

Unit cell a=7.023 b=7.023 c=12.186 alpha=115.10 beta=115.10 gamma=42.87
Fractional coordinates of all 10 atoms:
Ba 0.003 0.003 0.169
Ba 0.182 0.182 0.608
Ba 0.818 0.818 0.392
Ba 0.997 0.997 0.831
In 0.301 0.301 0.152
In 0.699 0.699 0.848
Sn 0.343 0.343 0.928
Sn 0.472 0.472 0.608
Sn 0.528 0.528 0.392
Sn 0.657 0.657 0.072

Summary:
- Formation energy from the elements: -592 meV/atom
- Space group: C2/m
- Calculated total energy: -3.51 eV/atom

---

DFT (PBE-GGA) results for an optimized crystal structure of Ba2HfNbCr.

Unit cell a=5.869 b=5.869 c=4.778 alpha=90.00 beta=90.00 gamma=90.00
Fractional coordinates of all 5 atoms:
Ba 0.000 0.500 0.000
Ba 0.500 0.000 0.000
Hf 0.000 0.000 0.500
Nb 0.500 0.500 0.500
Cr 0.000 0.000 0.000

Summary:
- Formation energy from the elements: 1456 meV/atom
- Space group: P4/mmm
- Calculated total energy: -5.24 eV/atom

---

DFT (PBE-GGA) results for an optimized crystal structure of CaHf3Co.

Unit cell a=4.918 b=4.918 c=4.918 alpha=90.00 beta=90.00 gamma=90.00
Fractional coordinates of all 5 atoms:
Ca 0.000 0.000 0.000
Hf 0.000 0.500 0.500
Hf 0.500 0.000 0.500
Hf 0.500 0.500 0.000
Co 0.500 0.500 0.500

Summary:
- Formation energy from the elements: 219 meV/atom
- Energy above the most stable polymorph in this dataset: 0.000 eV per atom
- Space group: Pm-3m
- Calculated total energy: -7.57 eV/atom

---

no.,V (Å³/atom),total moment (μB/atom)
1,36.398,0.000
2,32.910,0.791
3,23.794,0.000